Record 1
Computed, not measured: crystalline La4TlInH at its relaxed geometry at the PBE-GGA level of DFT.

extended XYZ file:
```
14
Lattice="6.819 0.000 0.000 0.000 6.834 0.000 -3.410 0.000 8.946" Properties=species:S:1:pos:R:3 pbc="T T T"
La 3.410 1.708 7.714
La 0.000 5.125 7.734
La 0.000 5.125 1.233
La 3.410 1.708 1.212
La 1.705 3.417 4.473
La -1.705 0.000 4.473
La 1.705 0.000 4.473
La -1.705 3.417 4.473
Tl 0.000 1.708 2.028
Tl 3.410 5.125 6.918
In 3.410 5.125 2.065
In 0.000 1.708 6.881
H 0.000 5.125 5.249
H 3.410 1.708 3.697
```

Calculated density (g/cm3): 7.0
Energy (eV per atom): -4.40
Density of states at the Fermi level (states/eV per cell): 14.8
Crystal system: orthorhombic

=====

Record 2
Computed, not measured: crystalline WSe2Cl at its relaxed geometry at the PBE-GGA level of DFT.

extended XYZ file:
```
4
Lattice="7.489 -4.458 -1.237 6.826 -3.358 -4.429 8.427 -1.289 -2.194" Properties=species:S:1:pos:R:3 pbc="T T T"
Se 20.401 -8.168 -7.051
Se 2.341 -0.937 -0.809
W 11.371 -4.553 -3.930
Cl 0.000 0.000 0.000
```

E_form (uncorrected) (eV per atom): -0.111
Calculated density (g/cm3): 7.1
Energy (eV per atom): -5.55
E above lowest polymorph (kJ per mole of atoms): 20.7
Density of states at the Fermi level (states/eV per cell): 3.7
Crystal system: trigonal

=====

Record 3
Computed, not measured: crystalline TmMn2B4 at its relaxed geometry at the PBE-GGA level of DFT.

extended XYZ file:
```
7
Lattice="-0.311 1.316 -2.745 -3.120 -0.974 -0.114 -0.229 5.705 4.466" Properties=species:S:1:pos:R:3 pbc="T T T"
B -2.304 1.950 -0.510
B -1.356 4.097 2.117
B -1.916 0.589 0.499
B -1.744 5.458 1.108
Tm -0.155 0.658 -1.372
Mn -2.916 3.801 0.446
Mn -0.743 2.246 1.161
```

Formation energy from the elements (eV/f.u.): -2.94
Calculated density (g/cm3): 7.8
Energy (eV per atom): -7.49
Density of states at the Fermi level (states/eV per cell): 3.9
Crystal system: orthorhombic

=====

Record 4
Computed, not measured: crystalline InPAuO2 at its relaxed geometry at the PBE-GGA level of DFT.

extended XYZ file:
```
5
Lattice="-0.818 -3.948 0.465 1.598 -0.761 -3.652 4.490 -0.683 2.107" Properties=species:S:1:pos:R:3 pbc="T T T"
P 2.245 -0.341 1.054
Au 0.000 0.000 0.000
O 0.799 -0.381 -1.826
O -0.409 -1.974 0.232
In 2.635 -2.696 -0.540
```

E_form (uncorrected) (eV per atom): 0.302
Calculated density (g/cm3): 7.5
Energy (eV per atom): -3.97
E above lowest polymorph (kJ per mole of atoms): 9.3
Density of states at the Fermi level (states/eV per cell): 4.3
Crystal system: tetragonal

=====

Record 5
Computed, not measured: crystalline Ac6PrPb6 at its relaxed geometry at the PBE-GGA level of DFT.

extended XYZ file:
```
13
Lattice="-7.857 2.065 -0.400 2.387 -7.416 -2.339 -1.312 -3.255 8.979" Properties=species:S:1:pos:R:3 pbc="T T T"
Ac 0.215 -6.135 5.526
Ac -4.907 -1.395 6.496
Ac -3.714 -5.102 5.325
Ac -4.262 0.205 2.084
Ac 0.860 -4.536 1.114
Ac -3.069 -3.504 0.915
Pr 0.000 0.000 0.000
Pb -0.872 -2.163 5.968
Pb -0.440 -1.092 3.011
Pb -1.030 -4.254 -1.692
Pb -4.441 -1.097 -1.047
Pb -1.684 -5.883 2.797
Pb -5.098 -2.723 3.443
```

Formation energy from the elements (eV/f.u.): -3.08
Calculated density (g/cm3): 8.3
Energy (eV per atom): -4.21
Density of states at the Fermi level (states/eV per cell): 15.0
Crystal system: orthorhombic

=====

Record 6
Computed, not measured: crystalline Rb2SbCl at its relaxed geometry at the PBE-GGA level of DFT.

extended XYZ file:
```
8
Lattice="9.212 0.000 0.000 0.000 9.212 0.000 4.606 4.606 4.751" Properties=species:S:1:pos:R:3 pbc="T T T"
Sb 0.000 0.000 0.000
Sb 9.212 4.606 2.375
Rb 6.427 2.303 1.188
Rb 2.785 6.909 1.188
Rb 6.909 7.391 3.563
Rb 11.515 11.033 3.563
Cl 4.606 4.606 0.000
Cl 4.606 9.212 2.375
```

E_form (uncorrected) (eV per atom): -0.715
Calculated density (g/cm3): 2.7
Energy (eV per atom): -2.69
E above lowest polymorph (kJ per mole of atoms): 0.0
Density of states at the Fermi level (states/eV per cell): 1.1
Crystal system: tetragonal

=====

Record 7
Computed, not measured: crystalline Sm6Ho7 at its relaxed geometry at the PBE-GGA level of DFT.

extended XYZ file:
```
13
Lattice="-5.269 -3.718 1.367 -0.782 -5.830 -2.976 3.899 -8.387 8.107" Properties=species:S:1:pos:R:3 pbc="T T T"
Sm -3.097 -12.147 2.708
Sm 0.945 -5.788 3.791
Sm -3.735 -6.629 -0.635
Sm 1.583 -11.307 7.134
Sm -1.914 -8.231 2.025
Sm -0.238 -9.705 4.474
Ho 0.000 0.000 0.000
Ho -2.161 -12.196 6.182
Ho 0.066 -13.244 4.026
Ho -2.549 -15.090 4.705
Ho 0.397 -2.846 1.794
Ho 0.009 -5.740 0.317
Ho -2.218 -4.692 2.473
```

Formation energy from the elements (eV/f.u.): 3.46
Calculated density (g/cm3): 7.8
Energy (eV per atom): -4.38
Density of states at the Fermi level (states/eV per cell): 30.5
Crystal system: trigonal

=====

Record 8
Computed, not measured: crystalline Ba2In2Bi2P at its relaxed geometry at the PBE-GGA level of DFT.

extended XYZ file:
```
7
Lattice="4.397 0.000 -0.001 2.198 6.615 0.643 0.000 2.299 8.483" Properties=species:S:1:pos:R:3 pbc="T T T"
Ba 2.198 1.739 6.274
Ba 4.397 7.175 2.851
In 4.397 4.858 7.871
In 2.198 4.056 1.254
Bi 4.396 3.688 3.575
Bi 2.199 5.226 5.550
P 0.000 0.000 0.000
```

Formation energy from the elements (eV/f.u.): -4.00
Calculated density (g/cm3): 6.6
Energy (eV per atom): -3.79
Density of states at the Fermi level (states/eV per cell): 2.4
Crystal system: monoclinic

=====

Record 9
Computed, not measured: crystalline LaBePS2 at its relaxed geometry at the PBE-GGA level of DFT.

extended XYZ file:
```
5
Lattice="-4.780 2.594 0.383 -2.193 -3.519 -3.540 -1.559 -3.532 4.477" Properties=species:S:1:pos:R:3 pbc="T T T"
P -0.779 -1.766 2.239
S -1.097 -1.760 -1.770
S -2.390 1.297 0.191
Be -4.266 -2.229 0.660
La 0.000 0.000 0.000
```

E_form (uncorrected) (eV per atom): 0.683
Calculated density (g/cm3): 2.3
Energy (eV per atom): -3.78
E above lowest polymorph (kJ per mole of atoms): 139.7
Density of states at the Fermi level (states/eV per cell): 6.7
Crystal system: tetragonal

=====

Record 10
Computed, not measured: crystalline Tb4GeAsSe2 at its relaxed geometry at the PBE-GGA level of DFT.

extended XYZ file:
```
8
Lattice="-1.195 3.812 -1.078 -4.488 -2.780 -4.858 -6.386 -1.143 3.040" Properties=species:S:1:pos:R:3 pbc="T T T"
Tb -8.109 -2.909 -1.299
Tb -3.960 2.799 -1.597
Tb -5.547 -0.438 -3.343
Tb -6.523 0.327 0.447
Ge -5.437 -1.962 -0.909
As -2.842 0.516 -2.968
Se -6.386 -1.143 3.040
Se -3.791 1.335 0.981
```

E_form (uncorrected) (eV per atom): -1.582
Calculated density (g/cm3): 7.8
Energy (eV per atom): -5.93
Density of states at the Fermi level (states/eV per cell): 1.4
Crystal system: monoclinic

=====

Record 11
Computed, not measured: crystalline AlFe14Mo at its relaxed geometry at the PBE-GGA level of DFT.

extended XYZ file:
```
16
Lattice="4.962 0.191 0.000 -1.769 4.640 0.000 0.000 0.000 8.084" Properties=species:S:1:pos:R:3 pbc="T T T"
Al -0.929 4.085 4.042
Fe -0.928 4.084 0.000
Fe 2.437 1.860 0.000
Fe -0.044 1.765 4.042
Fe -0.043 1.764 0.000
Fe 1.552 4.180 4.042
Fe 1.553 4.180 0.000
Fe 1.642 0.654 6.114
Fe 1.642 0.654 1.970
Fe 3.235 3.065 6.114
Fe 3.235 3.065 1.970
Fe 0.737 2.984 6.069
Fe 0.737 2.984 2.015
Fe 4.140 0.735 6.068
Fe 4.140 0.735 2.016
Mo 2.438 1.860 4.042
```

Formation energy from the elements (eV/f.u.): -0.41
Calculated density (g/cm3): 8.0
Energy (eV per atom): -8.34
Density of states at the Fermi level (states/eV per cell): 15.2
Crystal system: orthorhombic

=====

Record 12
Computed, not measured: crystalline TbEr2Rh3 at its relaxed geometry at the PBE-GGA level of DFT.

extended XYZ file:
```
6
Lattice="3.411 0.000 0.000 0.000 3.411 0.000 0.000 0.000 10.226" Properties=species:S:1:pos:R:3 pbc="T T T"
Tb 1.706 1.706 5.113
Er 1.706 1.706 8.533
Er 1.706 1.706 1.692
Rh 0.000 0.000 0.000
Rh 0.000 0.000 6.854
Rh 0.000 0.000 3.371
```

Formation energy from the elements (eV/f.u.): -5.43
Calculated density (g/cm3): 11.2
Energy (eV per atom): -6.87
E above lowest polymorph (kJ per mole of atoms): 0.2
Density of states at the Fermi level (states/eV per cell): 3.5
Crystal system: tetragonal

=====

Record 13
Computed, not measured: crystalline BePt2W at its relaxed geometry at the PBE-GGA level of DFT.

extended XYZ file:
```
4
Lattice="8.509 0.024 0.014 8.045 2.773 0.014 8.045 1.359 2.417" Properties=species:S:1:pos:R:3 pbc="T T T"
Be 18.449 3.117 1.834
W 6.150 1.039 0.611
Pt 0.244 0.041 0.024
Pt 12.056 2.037 1.198
```

Formation energy from the elements (eV/f.u.): -0.89
Calculated density (g/cm3): 17.2
Energy (eV per atom): -7.41
Density of states at the Fermi level (states/eV per cell): 1.9
Crystal system: trigonal